Density functional theory data (PBE-GGA) for a relaxed PrY6Ho3Sc2 crystal.

Calculated values
DOS(E_F): 17.78 states/eV per cell
Calculated volume: 30.9 A^3/atom
E_form: 0.043 eV/atom
Crystal system: monoclinic

Unit cell a=6.0937 b=6.0937 c=11.6853 alpha=94.96 beta=94.96 gamma=119.95
Closest atoms and distances in Å follow each position.
Element x y z (fractional)
Pr: 0.0000 0.0000 0.0000  6 Y 3.50-3.51, 6 Sc 3.52
Y: 0.0833 0.4194 0.2474  2 Sc 3.49-3.50, 6 Y 3.50-3.55, 1 Pr 3.51, 3 Ho 3.53-3.55
Y: 0.2533 0.2533 0.7527  2 Sc 3.49, 6 Y 3.50-3.55, 1 Pr 3.50, 3 Ho 3.54-3.56
Y: 0.4194 0.0833 0.2474  2 Sc 3.49-3.50, 6 Y 3.50-3.55, 1 Pr 3.51, 3 Ho 3.53-3.55
Y: 0.5806 0.9167 0.7526  2 Sc 3.49-3.50, 6 Y 3.50-3.55, 1 Pr 3.51, 3 Ho 3.53-3.55
Y: 0.7467 0.7467 0.2473  2 Sc 3.49, 6 Y 3.50-3.55, 1 Pr 3.50, 3 Ho 3.54-3.56
Y: 0.9167 0.5806 0.7526  2 Sc 3.49-3.50, 6 Y 3.50-3.55, 1 Pr 3.51, 3 Ho 3.53-3.55
Ho: 0.1673 0.8327 0.5000  6 Ho 3.51-3.53, 6 Y 3.53-3.56
Ho: 0.5000 0.5000 0.5000  6 Ho 3.51-3.52, 6 Y 3.54-3.55
Ho: 0.8327 0.1673 0.5000  6 Ho 3.51-3.53, 6 Y 3.53-3.56
Sc: 0.3334 0.6666 0.0000  6 Y 3.49-3.50, 3 Sc 3.52, 3 Pr 3.52
Sc: 0.6666 0.3334 0.0000  6 Y 3.49-3.50, 3 Sc 3.52, 3 Pr 3.52